A geometry-optimized NaLi2Tl3F6 structure. Source: Alexandria via LeMat-Bulk, functional PBE.

Computed properties:
As for the magnetic moment: 0.00 μB/f.u. As for the symmetry: P-3m1 (164). The uncorrected formation energy is -2.21 eV per atom. The value obtained for the uncorrected energy is -4.165 eV per atom. The calculation puts the density at 5583 kg/m³.

```
12
Lattice="-2.224 -1.900 5.471 4.134 -3.482 -3.046 5.079 3.240 3.190" Properties=species:S:1:pos:R:3 pbc="T T T"
Na 2.539 1.620 1.595
Li 3.866 0.106 5.126
Li 3.123 -2.248 0.489
Tl 5.260 -0.884 1.832
Tl 1.728 -1.257 3.784
Tl 0.000 0.000 0.000
F 3.477 -3.148 2.000
F 2.565 -0.579 0.842
F 4.539 -2.241 -0.612
F 4.423 -1.562 4.773
F 3.511 1.007 3.615
F 2.450 0.100 6.227
```